Density functional theory data (PBE-GGA) for an optimized crystal structure of CsLaNiTe3.

The structure in CIF format:
```
data_CsLaNiTe3
_cell_length_a 10.5144
_cell_length_b 4.4683
_cell_length_c 10.5901
_cell_angle_alpha 90.00
_cell_angle_beta 109.86
_cell_angle_gamma 90.00
_symmetry_space_group_name_H-M 'P 1 21/m 1'
_symmetry_Int_Tables_number 11
loop_
_symmetry_equiv_pos_as_xyz
'x,y,z'
'-x,-y,-z'
'-x,y+1/2,-z'
'x,-y+1/2,z'
loop_
_atom_site_label
_atom_site_type_symbol
_atom_site_fract_x
_atom_site_fract_y
_atom_site_fract_z
_atom_site_occupancy
Cs1 Cs 0.2151 0.2500 0.2606 1
La1 La 0.3224 0.7500 0.8615 1
Ni1 Ni 0.0917 0.2500 0.6199 1
Te1 Te 0.1039 0.2500 0.8630 1
Te2 Te 0.1503 0.7500 0.5367 1
Te3 Te 0.4746 0.7500 0.1794 1
```

***

Density functional theory data (PBE-GGA) for an optimized crystal structure of Cs2LaNpSe4.

The structure in CIF format:
```
data_Cs2LaNpSe4
_cell_length_a 4.3979
_cell_length_b 4.3979
_cell_length_c 16.7264
_cell_angle_alpha 90.00
_cell_angle_beta 90.00
_cell_angle_gamma 120.00
_symmetry_space_group_name_H-M 'P -3 m 1'
_symmetry_Int_Tables_number 164
_symmetry_space_group_name_Hall '-P 3 2"'
loop_
_atom_site_label
_atom_site_type_symbol
_atom_site_fract_x
_atom_site_fract_y
_atom_site_fract_z
_atom_site_occupancy
Cs1 Cs 0.3333 0.6667 0.2474 1
La1 La 0.0000 0.0000 0.5000 1
Np1 Np 0.0000 0.0000 0.0000 1
Se1 Se 0.3333 0.6667 0.5977 1
Se2 Se 0.3333 0.6667 0.9095 1
```

***

Number 1: uncorrected energy -4.428 eV/atom. Number 2: uncorrected energy -5.707 eV/atom.